The following is a GGA-PBE calculation of Be2Zn2Au7 after structural relaxation, from Alexandria via LeMat-Bulk.

a b c (Å): 5.856 5.591 5.856
angles (deg): 90.00 98.45 90.00
Positions (direct):
Be 0.722 0.000 0.278
Be 0.278 0.000 0.722
Zn 0.830 0.500 0.830
Zn 0.170 0.500 0.170
Au 0.000 0.251 0.500
Au 0.500 0.749 0.000
Au 0.000 0.749 0.500
Au 0.500 0.251 0.000
Au 0.000 0.000 0.000
Au 0.500 0.747 0.500
Au 0.500 0.253 0.500

Computed properties:
As for the total energy: -3.060 eV/atom. For the density, the calculation gives 13.4 g cm⁻³. The formation energy comes out at -66 meV per atom. The polymorph energy (0 for the lowest one) is 20.6 meV/atom. Its calculated volume is 17.24 Å³/atom.